Computed, not measured: a relaxed Pm2NpBi crystal at the PBE level of DFT.

Summary:
- relative energy among the computed polymorphs (meV/atom) = 0
- total moment (μB/f.u.) = 5.4
- ΔH_f (0 K) (eV per atom) = -0.0608
- mass density (g/cm³) = 10.415
- final energy (eV for the cell shown) = -26.6

CIF file:
```
data_Pm2NpBi
_cell_length_a 4.6271
_cell_length_b 5.0359
_cell_length_c 5.0359
_cell_angle_alpha 90.00
_cell_angle_beta 90.00
_cell_angle_gamma 90.00
_symmetry_space_group_name_H-M 'P 1'
_symmetry_Int_Tables_number 1
loop_
_symmetry_equiv_pos_as_xyz
'x,y,z'
loop_
_atom_site_label
_atom_site_fract_x
_atom_site_fract_y
_atom_site_fract_z
Np1 0.5000 0.0000 0.0000
Bi1 0.5000 0.5000 0.5000
Pm1 0.0000 0.5000 0.0000
Pm2 0.0000 0.0000 0.5000
```